(1)
# Th2Ga8Pd

An optimized crystal structure of Th2Ga8Pd (GGA-PBE, the Alexandria database).

a = 4.4513 Å, b = 4.4513 Å, c = 11.4044 Å
α = 90.00°, β = 90.00°, γ = 90.00°
Sites, in units of the cell vectors:
1 Th 0.0000 0.0000 0.1914
2 Th 0.0000 0.0000 0.8086
3 Ga 0.0000 0.5000 0.0000
4 Ga 0.0000 0.5000 0.3784
5 Ga 0.0000 0.5000 0.6216
6 Ga 0.5000 0.0000 0.0000
7 Ga 0.5000 0.0000 0.3784
8 Ga 0.5000 0.0000 0.6216
9 Ga 0.5000 0.5000 0.1996
10 Ga 0.5000 0.5000 0.8004
11 Pd 0.0000 0.0000 0.5000

Values from the calculation:
- magnetization (μB/cell) = 0.0

(2)
# Th2GaPd4

An optimized crystal structure of Th2GaPd4 (GGA-PBE, the Alexandria database).

a = 8.3011 Å, b = 7.9360 Å, c = 4.7742 Å
α = 77.14°, β = 68.75°, γ = 34.10°
Sites, in units of the cell vectors:
1 Th 0.1394 0.1394 0.8606
2 Th 0.8606 0.8606 0.1394
3 Ga 0.5000 0.5000 0.5000
4 Pd 0.0000 0.0000 0.5000
5 Pd 0.3290 0.3290 0.6710
6 Pd 0.5000 0.5000 0.0000
7 Pd 0.6710 0.6710 0.3290

Values from the calculation:
- magnetization (μB/cell) = 0.0

(3)
# Th2Ga5Pd3

An optimized crystal structure of Th2Ga5Pd3 (GGA-PBE, the Alexandria database).

a = 8.6570 Å, b = 8.6570 Å, c = 8.6570 Å
α = 107.13°, β = 86.79°, γ = 139.60°
Sites, in units of the cell vectors:
1 Th 0.1348 0.2295 0.3643
2 Th 0.3652 0.7295 0.0947
3 Th 0.6348 0.2705 0.9053
4 Th 0.8652 0.7705 0.6357
5 Ga 0.0336 0.7500 0.2836
6 Ga 0.1030 0.6586 0.7616
7 Ga 0.2500 0.2500 0.0000
8 Ga 0.3970 0.1586 0.5556
9 Ga 0.4664 0.7500 0.7164
10 Ga 0.5336 0.2500 0.2836
11 Ga 0.6030 0.8414 0.4444
12 Ga 0.7500 0.7500 0.0000
13 Ga 0.8970 0.3414 0.2384
14 Ga 0.9664 0.2500 0.7164
15 Pd 0.1408 0.8962 0.0371
16 Pd 0.2500 0.7500 0.5000
17 Pd 0.3592 0.3962 0.7554
18 Pd 0.6408 0.6038 0.2446
19 Pd 0.7500 0.2500 0.5000
20 Pd 0.8592 0.1038 0.9629

Values from the calculation:
- magnetization (μB/cell) = 0.0

(4)
# Th2Ga3Pd2

An optimized crystal structure of Th2Ga3Pd2 (GGA-PBE, the Alexandria database).

a = 9.6950 Å, b = 9.6950 Å, c = 7.2737 Å
α = 90.00°, β = 90.00°, γ = 154.66°
Sites, in units of the cell vectors:
1 Th 0.0540 0.9460 0.7500
2 Th 0.1590 0.8410 0.2500
3 Th 0.8410 0.1590 0.7500
4 Th 0.9460 0.0540 0.2500
5 Ga 0.2193 0.7807 0.7500
6 Ga 0.4405 0.5595 0.5727
7 Ga 0.4405 0.5595 0.9273
8 Ga 0.5595 0.4405 0.0727
9 Ga 0.5595 0.4405 0.4273
10 Ga 0.7807 0.2193 0.2500
11 Pd 0.3074 0.6926 0.0467
12 Pd 0.3074 0.6926 0.4533
13 Pd 0.6926 0.3074 0.5467
14 Pd 0.6926 0.3074 0.9533

Values from the calculation:
- E above lowest polymorph (eV/atom) = 0.000
- magnetization (μB/cell) = 0.0

(5)
# ThGa4Pd8

An optimized crystal structure of ThGa4Pd8 (GGA-PBE, the Alexandria database).

a = 6.8383 Å, b = 6.8383 Å, c = 6.8383 Å
α = 99.12°, β = 99.12°, γ = 133.07°
Sites, in units of the cell vectors:
1 Th 0.0000 0.0000 0.0000
2 Ga 0.0000 0.0000 0.5000
3 Ga 0.0000 0.5000 0.0000
4 Ga 0.5000 0.0000 0.0000
5 Ga 0.5000 0.5000 0.5000
6 Pd 0.0000 0.3336 0.3336
7 Pd 0.0000 0.6664 0.6664
8 Pd 0.2762 0.5000 0.7762
9 Pd 0.3336 0.0000 0.3336
10 Pd 0.5000 0.2762 0.7762
11 Pd 0.5000 0.7238 0.2238
12 Pd 0.6664 0.0000 0.6664
13 Pd 0.7238 0.5000 0.2238

Values from the calculation:
- magnetization (μB/cell) = 0.0

(6)
# ThGa6Pd12

An optimized crystal structure of ThGa6Pd12 (GGA-PBE, the Alexandria database).

a = 7.2506 Å, b = 7.2506 Å, c = 7.2506 Å
α = 106.38°, β = 106.38°, γ = 106.38°
Sites, in units of the cell vectors:
1 Th 0.0000 0.0000 0.0000
2 Ga 0.2694 0.2694 0.7024
3 Ga 0.2694 0.7024 0.2694
4 Ga 0.2976 0.7306 0.7306
5 Ga 0.7024 0.2694 0.2694
6 Ga 0.7306 0.2975 0.7306
7 Ga 0.7306 0.7306 0.2976
8 Pd 0.1215 0.5000 0.8785
9 Pd 0.1215 0.8785 0.5000
10 Pd 0.1484 0.3946 0.3946
11 Pd 0.3946 0.1484 0.3946
12 Pd 0.3946 0.3946 0.1484
13 Pd 0.5000 0.1215 0.8785
14 Pd 0.5000 0.8785 0.1215
15 Pd 0.6054 0.6054 0.8516
16 Pd 0.6054 0.8516 0.6054
17 Pd 0.8516 0.6054 0.6054
18 Pd 0.8785 0.1215 0.5000
19 Pd 0.8785 0.5000 0.1215

Values from the calculation:
- magnetization (μB/cell) = 0.0

(7)
# Th2GaPd

An optimized crystal structure of Th2GaPd (GGA-PBE, the Alexandria database).

a = 6.1656 Å, b = 4.2761 Å, c = 8.1064 Å
α = 90.00°, β = 109.55°, γ = 90.00°
Sites, in units of the cell vectors:
1 Th 0.2002 0.2500 0.4088
2 Th 0.2115 0.2500 0.9429
3 Th 0.7885 0.7500 0.0571
4 Th 0.7998 0.7500 0.5913
5 Ga 0.3396 0.7500 0.7086
6 Ga 0.6604 0.2500 0.2914
7 Pd 0.3734 0.7500 0.2219
8 Pd 0.6266 0.2500 0.7781

Values from the calculation:
- E above lowest polymorph (eV/atom) = 0.012
- magnetization (μB/cell) = 0.0

(8)
# Th4Ga16Pd3

An optimized crystal structure of Th4Ga16Pd3 (GGA-PBE, the Alexandria database).

a = 6.3408 Å, b = 6.3408 Å, c = 11.3537 Å
α = 90.00°, β = 90.00°, γ = 90.00°
Sites, in units of the cell vectors:
1 Th 0.0000 0.5000 0.1895
2 Th 0.0000 0.5000 0.8105
3 Th 0.5000 0.0000 0.1895
4 Th 0.5000 0.0000 0.8105
5 Ga 0.0000 0.0000 0.2004
6 Ga 0.0000 0.0000 0.7996
7 Ga 0.2106 0.2106 0.0000
8 Ga 0.2106 0.7894 0.0000
9 Ga 0.2463 0.2463 0.3798
10 Ga 0.2463 0.2463 0.6202
11 Ga 0.2463 0.7537 0.3798
12 Ga 0.2463 0.7537 0.6202
13 Ga 0.5000 0.5000 0.2321
14 Ga 0.5000 0.5000 0.7679
15 Ga 0.7537 0.2463 0.3798
16 Ga 0.7537 0.2463 0.6202
17 Ga 0.7537 0.7537 0.3798
18 Ga 0.7537 0.7537 0.6202
19 Ga 0.7894 0.2106 0.0000
20 Ga 0.7894 0.7894 0.0000
21 Pd 0.0000 0.5000 0.5000
22 Pd 0.5000 0.0000 0.5000
23 Pd 0.5000 0.5000 0.0000

Values from the calculation:
- magnetization (μB/cell) = 0.0

Asked for raw total energy across the records above, the calculation gives -4.52 -5.98 -5.31 -5.66 -5.37 -5.19 -6.35 -4.62 eV/atom in order.
Asked for formation energy from the elements across the records above, the calculation gives -501 -459 -755 -755 -677 -567 -589 -546 meV per atom in order.